Entry 1:
DFT (PBE-GGA) results for a geometry-optimized DyAl2Ga4 structure. Values from VASP.

Geometry as Quantum ESPRESSO input:
```
&SYSTEM
  ibrav = 0, nat = 7, ntyp = 3
/
ATOMIC_SPECIES
Al 26.98 Al.upf
Ga 69.72 Ga.upf
Dy 162.50 Dy.upf
CELL_PARAMETERS angstrom
-2.434 1.608 2.937
-2.837 -2.369 1.864
5.048 -2.848 8.660
ATOMIC_POSITIONS angstrom
Al 1.217 -1.388 4.686
Al -1.440 -2.222 8.775
Ga 3.009 -2.071 6.544
Ga -0.527 -0.723 2.876
Ga 0.305 -2.887 10.585
Ga -3.231 -1.538 6.916
Dy 0.000 0.000 0.000
```

## Properties
V	21.50	A^3/atom
DFT formation energy	-0.176	eV per atom
space group	R-3m (166)
mass density	5.465	g/cm³
total magnetization	0.00	μB/atom
excess energy over the best structure of this formula in the dataset	0	meV/atom



Entry 2:
DFT (PBE-GGA) results for a geometry-optimized Dy2AlGa4 structure. Values from VASP.

Geometry as Quantum ESPRESSO input:
```
&SYSTEM
  ibrav = 0, nat = 7, ntyp = 3
/
ATOMIC_SPECIES
Dy 162.50 Dy.upf
Al 26.98 Al.upf
Ga 69.72 Ga.upf
CELL_PARAMETERS angstrom
-3.424 -0.932 -0.560
1.784 -3.323 -5.377
0.876 -5.403 3.630
ATOMIC_POSITIONS angstrom
Dy -0.820 -2.127 -2.968
Dy -1.274 -3.167 1.535
Al 0.000 0.000 0.000
Ga 1.147 -4.783 0.947
Ga 0.792 -2.599 -0.520
Ga 1.868 -6.126 -1.227
Ga 1.513 -3.942 -2.694
```

## Properties
V	22.13	A^3/atom
DFT formation energy	-0.286	eV per atom
space group	P4/mmm (123)
mass density	6.761	g/cm³
total magnetization	0.00	μB/atom
excess energy over the best structure of this formula in the dataset	130	meV/atom



Entry 3:
DFT (PBE-GGA) results for a geometry-optimized Dy3Al3Ga2 structure. Values from VASP.

Geometry as Quantum ESPRESSO input:
```
&SYSTEM
  ibrav = 0, nat = 16, ntyp = 3
/
ATOMIC_SPECIES
Dy 162.50 Dy.upf
Al 26.98 Al.upf
Ga 69.72 Ga.upf
CELL_PARAMETERS angstrom
4.349 0.000 0.000
-2.175 5.359 0.000
0.000 0.000 14.871
ATOMIC_POSITIONS angstrom
Dy 0.000 0.857 9.088
Dy 0.000 3.826 11.153
Dy 2.175 4.502 1.653
Dy 0.000 0.857 13.218
Dy 2.175 4.502 5.783
Dy 2.175 1.533 3.718
Al 2.175 1.253 6.856
Al 0.000 4.105 14.292
Al 0.000 3.861 3.718
Al 0.000 4.105 8.014
Al 2.175 1.253 0.579
Al 2.175 1.497 11.153
Ga 2.175 3.098 13.276
Ga 2.175 3.098 9.030
Ga 0.000 2.261 1.595
Ga 0.000 2.261 5.841
```

## Properties
V	21.66	A^3/atom
DFT formation energy	-0.534	eV per atom
space group	Cmcm (63)
mass density	6.783	g/cm³
total magnetization	0.00	μB/atom